# 1
Here is a relaxed structure of ZrC from Alexandria. Energies are from PBE.

The formation enthalpy at 0 K comes out at -0.19 eV/f.u. For the distance to the lowest polymorph of the same formula, the calculation gives 0.713 eV per atom. The calculation puts the total energy at -8.980 eV/atom.

The structure belongs to space group Pm-3n (No. 223); the cell edges are 6.257, 6.257 and 6.257 Å and the angles 90.00°, 90.00° and 90.00°. The asymmetric unit holds Zr at (0.000, 0.250, 0.500) and C at (0.000, 0.500, 0.250).

---

# 2
Here is a relaxed structure of HRu from Alexandria. Energies are from PBE.

The calculation puts the total energy at -5.995 eV/atom.

The structure belongs to space group I4/m (No. 87); the cell edges are 7.707, 7.707 and 2.750 Å and the angles 90.00°, 90.00° and 90.00°. The asymmetric unit holds H at (0.097, 0.786, 0.000) and Ru at (0.128, 0.336, 0.000).

---

# 3
Here is a relaxed structure of ReSbMo2 from Alexandria. Energies are from PBE.

The formation energy from raw total energies comes out at 353 meV/atom. The calculation puts the total energy at -9.205 eV/atom.

The structure belongs to space group I4/mmm (No. 139); the cell edges are 3.886, 3.886 and 8.801 Å and the angles 90.00°, 90.00° and 90.00°. The asymmetric unit holds Re at (0.000, 0.000, 0.000), Sb at (0.000, 0.000, 0.500) and Mo at (0.000, 0.500, 0.250).

---

# 4
Here is a relaxed structure of H4SI from Alexandria. Energies are from PBE.

The calculation puts the total energy at -2.752 eV/atom.

The structure belongs to space group C2/m (No. 12); the cell edges are 8.936, 3.813 and 6.098 Å and the angles 90.00°, 100.12° and 90.00°. The asymmetric unit holds H at (0.001, 0.000, 0.253), H at (0.048, 0.500, 0.011), S at (0.000, 0.000, 0.000) and I at (0.000, 0.500, 0.500).

---

# 5
Here is a relaxed structure of Rb2SiClF6 from Alexandria. Energies are from PBE.

The formation energy from raw total energies comes out at -2659 meV/atom. The calculation puts the total energy at -4.702 eV/atom.

The structure belongs to space group I4/mmm (No. 139); the cell edges are 6.665, 6.665 and 8.542 Å and the angles 90.00°, 90.00° and 90.00°. The asymmetric unit holds Rb at (0.000, 0.500, 0.250), Si at (0.000, 0.000, 0.000), Cl at (0.000, 0.000, 0.500), F at (0.000, 0.000, 0.203) and F at (0.182, 0.182, 0.000).

---

# 6
Here is a relaxed structure of BeNi2Br from Alexandria. Energies are from PBE.

The formation energy from raw total energies comes out at 161 meV/atom. For the distance to the lowest polymorph of the same formula, the calculation gives 0.027 eV per atom. The calculation puts the total energy at -4.080 eV/atom.

The structure belongs to space group R-3m (No. 166, hexagonal axes); the cell edges are 3.3968, 3.3968 and 16.4874 Å and the angles 90.00°, 90.00° and 120.00°. The asymmetric unit holds Be at (0.0000, 0.0000, 0.0000), Ni at (0.0000, 0.0000, 0.2801) and Br at (0.0000, 0.0000, 0.5000).

---

# 7
Here is a relaxed structure of DyTmCoPt from Alexandria. Energies are from PBE.

The formation enthalpy at 0 K comes out at -2.80 eV/f.u. The calculation puts the total energy at -6.255 eV/atom.

The structure belongs to space group F-43m (No. 216); the cell edges are 6.808, 6.808 and 6.808 Å and the angles 90.00°, 90.00° and 90.00°. The asymmetric unit holds Dy at (0.000, 0.000, 0.000), Tm at (0.000, 0.000, 0.500), Co at (0.250, 0.250, 0.750) and Pt at (0.250, 0.250, 0.250).

---

# 8
Here is a relaxed structure of LaH6IrAu from Alexandria. Energies are from PBE.

The calculation puts the total energy at -4.388 eV/atom.

The structure belongs to space group P-6m2 (No. 187); the cell edges are 4.8973, 4.8973 and 4.4006 Å and the angles 90.00°, 90.00° and 120.00°. The asymmetric unit holds La at (0.0000, 0.0000, 0.0000), H at (0.0382, 0.5191, 0.2292), Ir at (0.3333, 0.6667, 0.5000) and Au at (0.6667, 0.3333, 0.5000).

---

# 9
Here is a relaxed structure of KOs2Cl from Alexandria. Energies are from PBE.

The formation energy from raw total energies comes out at 1386 meV/atom. For the distance to the lowest polymorph of the same formula, the calculation gives 1.129 eV per atom. The calculation puts the total energy at -4.965 eV/atom.

The structure belongs to space group Cmmm (No. 65); the cell edges are 2.800, 4.948 and 10.196 Å and the angles 90.00°, 90.00° and 90.00°. The asymmetric unit holds K at (0.000, 0.000, 0.000), Os at (0.000, 0.500, 0.286) and Cl at (0.000, 0.000, 0.500).

---

# 10
Here is a relaxed structure of Ta2GaCo3 from Alexandria. Energies are from PBE.

The formation enthalpy at 0 K comes out at -1.71 eV/f.u. The calculation puts the total energy at -8.294 eV/atom.

The structure belongs to space group P6_3/mmc (No. 194); the cell edges are 4.9010, 4.9010 and 7.6474 Å and the angles 90.00°, 90.00° and 120.00°. The asymmetric unit holds Ta at (0.3333, 0.6667, 0.0588), Ga at (0.0000, 0.0000, 0.0000) and Co at (0.1724, 0.3448, 0.7500).

---

# 11
Here is a relaxed structure of Ho3ErTh2 from Alexandria. Energies are from PBE.

The formation enthalpy at 0 K comes out at 3.35 eV/f.u. For the distance to the lowest polymorph of the same formula, the calculation gives 0.532 eV per atom. The calculation puts the total energy at -4.964 eV/atom.

The structure belongs to space group Cmcm (No. 63); the cell edges are 6.902, 11.361 and 11.294 Å and the angles 90.00°, 90.00° and 90.00°. The asymmetric unit holds Ho at (0.000, 0.001, 0.250), Ho at (0.250, 0.249, 0.750), Er at (0.000, 0.499, 0.750) and Th at (0.249, 0.500, 0.000).

---

# 12
Here is a relaxed structure of AcPdPtAu from Alexandria. Energies are from PBE.

The formation enthalpy at 0 K comes out at -2.38 eV/f.u. The calculation puts the total energy at -5.250 eV/atom.

The structure belongs to space group F-43m (No. 216); the cell edges are 7.039, 7.039 and 7.039 Å and the angles 90.00°, 90.00° and 90.00°. The asymmetric unit holds Ac at (0.000, 0.000, 0.000), Pd at (0.250, 0.250, 0.250), Pt at (0.250, 0.250, 0.750) and Au at (0.000, 0.000, 0.500).

---

# 13
Here is a relaxed structure of Hf2InCo from Alexandria. Energies are from PBE.

The formation enthalpy at 0 K comes out at -0.66 eV/f.u. The calculation puts the total energy at -7.603 eV/atom.

The structure belongs to space group C2/m (No. 12); the cell edges are 11.172, 3.386 and 8.862 Å and the angles 90.00°, 111.75° and 90.00°. The asymmetric unit holds Hf at (0.118, 0.000, 0.152), Hf at (0.125, 0.000, 0.745), In at (0.128, 0.500, 0.451) and Co at (0.159, 0.500, 0.963).

---

# 14
Here is a relaxed structure of Ba2LaVN4 from Alexandria. Energies are from PBE.

The formation energy from raw total energies comes out at -957 meV/atom. The calculation puts the total energy at -7.356 eV/atom.

The structure belongs to space group Pmn2_1 (No. 31); the cell edges are 7.608, 7.366 and 5.890 Å and the angles 90.00°, 90.00° and 90.00°. The asymmetric unit holds Ba at (0.243, 0.170, 0.000), La at (0.000, 0.376, 0.512), V at (0.000, 0.667, 0.028), N at (0.000, 0.432, 0.917), N at (0.000, 0.652, 0.338) and N at (0.209, 0.787, 0.960).

---

# 15
Here is a relaxed structure of Ac2LaPmY5 from Alexandria. Energies are from PBE.

The formation enthalpy at 0 K comes out at 1.39 eV/f.u. The calculation puts the total energy at -5.425 eV/atom.

The structure belongs to space group Cmc2_1 (No. 36); the cell edges are 5.846, 20.243 and 11.062 Å and the angles 90.00°, 90.00° and 90.00°. The asymmetric unit holds Ac at (0.000, 0.112, 0.000), Ac at (0.000, 0.117, 0.591), La at (0.000, 0.419, 0.731), Pm at (0.000, 0.207, 0.279), Y at (0.000, 0.019, 0.298), Y at (0.000, 0.286, 0.576), Y at (0.000, 0.297, 0.977), Y at (0.000, 0.393, 0.292) and Y at (0.000, 0.481, 0.008).

---

# 16
Here is a relaxed structure of K2NaPtN from Alexandria. Energies are from PBE.

The formation energy from raw total energies comes out at 49 meV/atom. For the distance to the lowest polymorph of the same formula, the calculation gives 0.100 eV per atom. The calculation puts the total energy at -3.527 eV/atom.

The structure belongs to space group P4/mmm (No. 123); the cell edges are 6.635, 6.635 and 3.746 Å and the angles 90.00°, 90.00° and 90.00°. The asymmetric unit holds K at (0.000, 0.500, 0.000), Na at (0.000, 0.000, 0.500), Pt at (0.500, 0.500, 0.000) and N at (0.500, 0.500, 0.500).

---

# 17
Here is a relaxed structure of Tl6Te2SeI from Alexandria. Energies are from PBE.

The formation energy from raw total energies comes out at -307 meV/atom. The calculation puts the total energy at -2.858 eV/atom.

The structure belongs to space group P1 (No. 1); the cell edges are 7.706, 7.713 and 8.630 Å and the angles 63.56°, 63.52° and 60.07°. The asymmetric unit holds Tl at (0.000, 0.000, 0.000), Tl at (0.041, 0.217, 0.418), Tl at (0.159, 0.663, 0.418), Tl at (0.377, 0.457, 0.999), Tl at (0.595, 0.781, 0.418), Tl at (0.834, 0.624, 0.000), Te at (0.382, 0.004, 0.068), Te at (0.823, 0.445, 0.745), Se at (0.175, 0.798, 0.686) and I at (0.604, 0.228, 0.397).

---

# 18
Here is a relaxed structure of RbLa2Co from Alexandria. Energies are from PBE.

The formation enthalpy at 0 K comes out at 0.11 eV/f.u. For the distance to the lowest polymorph of the same formula, the calculation gives 0.000 eV per atom. The calculation puts the total energy at -4.454 eV/atom.

The structure belongs to space group R-3m (No. 166, hexagonal axes); the cell edges are 4.1389, 4.1389 and 34.7055 Å and the angles 90.00°, 90.00° and 120.00°. The asymmetric unit holds Rb at (0.0000, 0.0000, 0.0000), La at (0.0000, 0.0000, 0.1254) and Co at (0.0000, 0.0000, 0.5000).

---

# 19
Here is a relaxed structure of BaZr2InHg from Alexandria. Energies are from PBE.

The formation enthalpy at 0 K comes out at 7.96 eV/f.u. The calculation puts the total energy at -2.821 eV/atom.

The structure belongs to space group P4/mmm (No. 123); the cell edges are 5.397, 5.397 and 5.966 Å and the angles 90.00°, 90.00° and 90.00°. The asymmetric unit holds Ba at (0.000, 0.000, 0.000), Zr at (0.000, 0.500, 0.000), In at (0.000, 0.000, 0.500) and Hg at (0.500, 0.500, 0.500).

---

# 20
Here is a relaxed structure of ThPdAu from Alexandria. Energies are from PBE.

The formation enthalpy at 0 K comes out at -2.14 eV/f.u. For the distance to the lowest polymorph of the same formula, the calculation gives 0.068 eV per atom. The calculation puts the total energy at -6.011 eV/atom.

The structure belongs to space group C2/m (No. 12); the cell edges are 10.536, 4.766 and 5.328 Å and the angles 90.00°, 96.84° and 90.00°. The asymmetric unit holds Th at (0.114, 0.000, 0.300), Pd at (0.230, 0.000, 0.834) and Au at (0.083, 0.500, 0.731).

---

# 21
Here is a relaxed structure of KPaCl6 from Alexandria. Energies are from PBE.

The formation energy from raw total energies comes out at -1930 meV/atom. For the distance to the lowest polymorph of the same formula, the calculation gives 0.000 eV per atom. The calculation puts the total energy at -4.639 eV/atom.

The structure belongs to space group C2/m (No. 12); the cell edges are 7.601, 11.651 and 7.029 Å and the angles 90.00°, 104.19° and 90.00°. The asymmetric unit holds K at (0.000, 0.000, 0.000), Pa at (0.000, 0.500, 0.500), Cl at (0.178, 0.346, 0.730) and Cl at (0.246, 0.500, 0.307).

---

# 22
Here is a relaxed structure of LaCrCl2 from Alexandria. Energies are from PBE.

The formation energy from raw total energies comes out at -664 meV/atom. For the distance to the lowest polymorph of the same formula, the calculation gives 0.218 eV per atom. The calculation puts the total energy at -5.225 eV/atom.

The structure belongs to space group Cmmm (No. 65); the cell edges are 3.614, 6.643 and 8.517 Å and the angles 90.00°, 90.00° and 90.00°. The asymmetric unit holds La at (0.000, 0.000, 0.000), Cr at (0.000, 0.000, 0.500) and Cl at (0.000, 0.500, 0.285).

---

# 23
Here is a relaxed structure of Sc5Cd4Pd from Alexandria. Energies are from PBE.

The formation enthalpy at 0 K comes out at -4.05 eV/f.u. The calculation puts the total energy at -4.456 eV/atom.

The structure belongs to space group P4/mmm (No. 123); the cell edges are 3.469, 3.469 and 17.693 Å and the angles 90.00°, 90.00° and 90.00°. The asymmetric unit holds Sc at (0.000, 0.000, 0.000), Sc at (0.000, 0.000, 0.206), Sc at (0.000, 0.000, 0.412), Cd at (0.500, 0.500, 0.103), Cd at (0.500, 0.500, 0.308) and Pd at (0.500, 0.500, 0.500).

---

# 24
Here is a relaxed structure of AcCeSO2 from Alexandria. Energies are from PBE.

The formation energy from raw total energies comes out at -2949 meV/atom. The calculation puts the total energy at -7.766 eV/atom.

The structure belongs to space group I4mm (No. 107); the cell edges are 3.993, 3.993 and 12.749 Å and the angles 90.00°, 90.00° and 90.00°. The asymmetric unit holds Ac at (0.000, 0.000, 0.000), Ce at (0.000, 0.000, 0.705), S at (0.000, 0.000, 0.358) and O at (0.000, 0.500, 0.113).